No. 1
## Ac3Mg2Ni2Ge4 (PBE)

Data for a relaxed Ac3Mg2Ni2Ge4 crystal.

a b c (Å): 4.355 4.355 16.504
angles (deg): 90.00 90.00 120.00
Sites, in units of the cell vectors:
Mg 0.333 0.667 0.556
Mg 0.667 0.333 0.444
Ge 0.667 0.333 0.614
Ge 0.333 0.667 0.868
Ge 0.333 0.667 0.386
Ge 0.667 0.333 0.132
Ac 0.000 0.000 0.000
Ac 0.000 0.000 0.264
Ac 0.000 0.000 0.736
Ni 0.667 0.333 0.867
Ni 0.333 0.667 0.133

Summary:
* ρ: 6967 kg/m3
* formation energy from the elements: -524.9 meV/atom

***

No. 2
## AcMg2NiGe2 (PBE)

Data for a relaxed AcMg2NiGe2 crystal.

a b c (Å): 4.312 4.312 8.399
angles (deg): 104.88 104.88 90.00
Sites, in units of the cell vectors:
Ac 0.500 0.500 0.000
Ge 0.857 0.857 0.715
Ge 0.143 0.143 0.285
Ni 0.000 0.000 0.000
Mg 0.750 0.250 0.500
Mg 0.250 0.750 0.500

Summary:
* ρ: 5472 kg/m3
* formation energy from the elements: -300.0 meV/atom

***

No. 3
## Ac2MgNi4Ge3 (PBE)

Data for a relaxed Ac2MgNi4Ge3 crystal.

a b c (Å): 4.286 4.286 10.183
angles (deg): 90.00 90.00 90.00
Sites, in units of the cell vectors:
Ni 0.000 0.500 0.360
Ni 0.500 0.000 0.640
Ni 0.500 0.500 0.000
Ni 0.000 0.000 0.000
Ge 0.000 0.500 0.118
Ge 0.500 0.000 0.882
Ge 0.000 0.000 0.500
Mg 0.500 0.500 0.500
Ac 0.000 0.500 0.758
Ac 0.500 0.000 0.242

Summary:
* ρ: 8264 kg/m3
* formation energy from the elements: -547.6 meV/atom

***

No. 4
## AcMgNi2Ge2 (PBE)

Data for a relaxed AcMgNi2Ge2 crystal.

a b c (Å): 4.235 4.235 7.285
angles (deg): 90.00 90.00 120.00
Sites, in units of the cell vectors:
Ni 0.333 0.667 0.651
Ni 0.667 0.333 0.349
Ac 0.000 0.000 0.000
Ge 0.667 0.333 0.702
Ge 0.333 0.667 0.298
Mg 0.000 0.000 0.500

Summary:
* ρ: 7541 kg/m3
* formation energy from the elements: -556.0 meV/atom

***

No. 5
## AcMg2GeO6 (PBE)

Data for a relaxed AcMg2GeO6 crystal.

a b c (Å): 6.789 7.285 7.285
angles (deg): 82.44 67.64 67.64
Each line ends with the local moment (μB).
Sites, in units of the cell vectors:
O 0.497 0.828 0.359  0.01
O 0.798 0.052 0.176  0.04
O 0.110 0.719 0.548  0.40
O 0.202 0.948 0.824  0.04
O 0.390 0.452 0.281  0.40
O 0.610 0.548 0.719  0.40
O 0.702 0.824 0.948  0.04
O 0.298 0.176 0.052  0.04
O 0.890 0.281 0.452  0.40
O 0.997 0.359 0.828  0.01
O 0.003 0.641 0.172  0.01
O 0.503 0.172 0.641  0.01
Mg 0.366 0.732 0.622  0.00
Mg 0.866 0.622 0.732  0.00
Mg 0.134 0.378 0.268  0.00
Mg 0.634 0.268 0.378  0.00
Ge 0.750 0.828 0.172  0.00
Ge 0.250 0.172 0.828  0.00
Ac 0.250 0.819 0.181  -0.01
Ac 0.750 0.181 0.819  -0.01

Summary:
* ρ: 4789 kg/m3
* E_form (uncorrected): -53.62 kcal/mol of atoms

***

No. 6
## Ac3Mg2GeO9 (PBE)

Data for a relaxed Ac3Mg2GeO9 crystal.

a b c (Å): 5.610 5.610 6.961
angles (deg): 90.00 90.00 120.00
Each line ends with the local moment (μB).
Sites, in units of the cell vectors:
O 0.000 0.500 0.000  0.22
O 0.500 0.000 0.000  0.22
O 0.840 0.160 0.659  0.03
O 0.321 0.160 0.659  0.03
O 0.500 0.500 0.000  0.22
O 0.840 0.679 0.659  0.03
O 0.160 0.840 0.341  0.03
O 0.679 0.840 0.341  0.03
O 0.160 0.321 0.341  0.03
Mg 0.333 0.667 0.176  0.00
Mg 0.667 0.333 0.824  0.00
Ac 0.667 0.333 0.325  0.00
Ac 0.000 0.000 0.000  -0.01
Ac 0.333 0.667 0.675  0.00
Ge 0.000 0.000 0.500  0.00

Summary:
* ρ: 8281 kg/m3
* E_form (uncorrected): -63.41 kcal/mol of atoms

***

Energy
In order: -4.67 -4.02 -5.23 -4.97 -6.49 -7.07
Unit: eV/atom